No. 1
Here is a relaxed structure of Er6TlP2Se3 from Alexandria via LeMat-Bulk. Energies are from GGA-PBE.

Cell lengths 9.1244, 9.1244, 8.2961 Å; angles 103.03, 103.03, 25.39 degrees
Closest atoms and distances in Å follow each position.
Sites, in units of the cell vectors:
Er 0.0062 0.0062 0.2636  1 P 2.81, 3 Se 2.82-2.99, 2 Tl 2.95
Er 0.3270 0.3270 0.4284  3 P 2.75-2.78, 3 Se 2.97-3.00
Er 0.3295 0.3295 0.8959  2 P 2.80, 3 Se 2.83-3.01, 1 Tl 2.96
Er 0.6705 0.6705 0.1041  2 P 2.80, 3 Se 2.83-3.01, 1 Tl 2.96
Er 0.6730 0.6730 0.5716  3 P 2.75-2.78, 3 Se 2.97-3.00
Er 0.9938 0.9938 0.7364  1 P 2.81, 3 Se 2.82-2.99, 2 Tl 2.95
Tl 0.5000 0.5000 0.0000  6 Er 2.95-2.96
P 0.1684 0.1684 0.3378  6 Er 2.75-2.81
P 0.8316 0.8316 0.6622  6 Er 2.75-2.81
Se 0.1662 0.1662 0.8312  6 Er 2.83-3.01
Se 0.5000 0.5000 0.5000  6 Er 2.82-3.00
Se 0.8338 0.8338 0.1688  6 Er 2.83-3.01

Results
For the mass density, the calculation gives 8.68 g/cm3. As for the symmetry: C2/m (12). Its size of the total moment is 0.0 μB per cell. As for the crystal system: monoclinic.

***

No. 2
Here is a relaxed structure of Er8Tl3PSe3 from Alexandria via LeMat-Bulk. Energies are from GGA-PBE.

Cell lengths 7.8193, 7.8193, 8.9337 Å; angles 115.90, 115.90, 60.08 degrees
Closest atoms and distances in Å follow each position.
Sites, in units of the cell vectors:
Er 0.2322 0.2322 0.7145  1 P 2.73, 2 Se 2.83
Er 0.2320 0.7504 0.7143  1 P 2.73, 2 Se 2.83
Er 0.2496 0.7680 0.2857  1 P 2.73, 2 Se 2.83
Er 0.2597 0.2597 0.2789  3 Se 2.83, 3 Tl 3.12
Er 0.7403 0.7403 0.7211  3 Se 2.83, 3 Tl 3.12
Er 0.7504 0.2320 0.7143  1 P 2.73, 2 Se 2.83
Er 0.7680 0.2496 0.2857  1 P 2.73, 2 Se 2.83
Er 0.7678 0.7678 0.2855  1 P 2.73, 2 Se 2.83
Tl 0.0000 0.0000 0.0000  6 Er 3.12-3.13
Tl 0.0000 0.5000 0.0000  6 Er 3.12-3.13
Tl 0.5000 0.0000 0.0000  6 Er 3.12-3.13
P 0.0000 0.0000 0.5000  6 Er 2.73
Se 0.0000 0.5000 0.5000  6 Er 2.83
Se 0.5000 0.0000 0.5000  6 Er 2.83
Se 0.5000 0.5000 0.5000  6 Er 2.83

Results
For the mass density, the calculation gives 9.02 g/cm3. As for the symmetry: C2/m (12). Its size of the total moment is 0.0 μB per cell. As for the crystal system: monoclinic.

***

No. 3
Here is a relaxed structure of YErPSe from Alexandria via LeMat-Bulk. Energies are from GGA-PBE.

Cell lengths 7.3012, 7.3012, 7.3012 Å; angles 31.42, 31.42, 31.42 degrees
Closest atoms and distances in Å follow each position.
Sites, in units of the cell vectors:
Y 0.0000 0.0000 0.0000  3 P 2.79, 3 Se 3.02
Er 0.8149 0.8149 0.8149  3 P 2.72, 3 Se 2.96
P 0.4102 0.4102 0.4102  3 Er 2.72, 3 Y 2.79
Se 0.2387 0.2387 0.2387  3 Er 2.96, 3 Y 3.02

Results
For the mass density, the calculation gives 6.47 g/cm3. As for the symmetry: R3m (160). Its size of the total moment is 0.0 μB per cell. As for the crystal system: trigonal.

***

No. 4
Here is a relaxed structure of ErZrPSe from Alexandria via LeMat-Bulk. Energies are from GGA-PBE.

Cell lengths 7.1231, 7.1231, 7.1231 Å; angles 30.97, 30.97, 30.97 degrees
Closest atoms and distances in Å follow each position.
Sites, in units of the cell vectors:
Er 0.0000 0.0000 0.0000  3 P 2.70, 3 Se 2.97
Zr 0.1879 0.1879 0.1879  3 P 2.60, 3 Se 2.85
P 0.5893 0.5893 0.5893  3 Zr 2.60, 3 Er 2.70
Se 0.7649 0.7649 0.7649  3 Zr 2.85, 3 Er 2.97

Results
For the mass density, the calculation gives 7.21 g/cm3. As for the symmetry: R3m (160). Its size of the total moment is 0.0 μB per cell. As for the crystal system: trigonal.

***

In the order shown, the computed energy values come out to -68.52; -74.03; -26.80; -28.06 eV/cell.
In the order shown, the computed calculated volume values come out to 288.2; 408.7; 93.9; 84.9 Å³/cell.